A plane-wave DFT calculation with PBEsol was carried out for crystalline ZrBe13 at its relaxed geometry.

Results
E = -4.56 eV per atom
DOS at the Fermi energy = 0.20 states/eV/atom

a = 7.036 Å, b = 7.036 Å, c = 7.036 Å
α = 60.00°, β = 60.00°, γ = 60.00°
Sites, in units of the cell vectors:
Zr 0.250 0.250 0.250
Zr 0.750 0.750 0.750
Be 0.000 0.000 0.000
Be 0.062 0.294 0.706
Be 0.062 0.706 0.938
Be 0.062 0.938 0.294
Be 0.206 0.438 0.794
Be 0.206 0.562 0.438
Be 0.206 0.794 0.562
Be 0.294 0.062 0.938
Be 0.294 0.706 0.062
Be 0.294 0.938 0.706
Be 0.438 0.206 0.562
Be 0.438 0.562 0.794
Be 0.438 0.794 0.206
Be 0.500 0.500 0.500
Be 0.562 0.206 0.794
Be 0.562 0.438 0.206
Be 0.562 0.794 0.438
Be 0.706 0.062 0.294
Be 0.706 0.294 0.938
Be 0.706 0.938 0.062
Be 0.794 0.206 0.438
Be 0.794 0.438 0.562
Be 0.794 0.562 0.206
Be 0.938 0.062 0.706
Be 0.938 0.294 0.062
Be 0.938 0.706 0.294